A plane-wave DFT calculation with PBE-GGA was carried out for a geometry-optimized AcTaBi2 structure.

Cell lengths 5.277, 5.277, 4.162 Å; angles 90.00, 90.00, 90.00 degrees
Space group P4/mmm (No. 123)
One atom of each set of equivalent atoms:
Ac 0.000 0.000 0.000
Ta 0.500 0.500 0.000
Bi 0.000 0.500 0.500

Output
- Density: 11.835 g cm⁻³
- Crystal system: tetragonal
- Total energy: -5.644 eV/atom
- Energy relative to the elements: 0.287 eV per atom

A plane-wave DFT calculation with PBE-GGA was carried out for a geometry-optimized Ac2TaBi structure.

Cell lengths 5.402, 5.402, 4.440 Å; angles 90.00, 90.00, 90.00 degrees
Space group P4/mmm (No. 123)
One atom of each set of equivalent atoms:
Ac 0.000 0.500 0.000
Ta 0.000 0.000 0.500
Bi 0.500 0.500 0.500

Output
- Excess energy over the best structure of this formula in the dataset: 0.000 eV per atom
- Density: 10.815 g cm⁻³
- Crystal system: tetragonal
- Total energy: -5.765 eV/atom
- Energy relative to the elements: 0.223 eV per atom

A plane-wave DFT calculation with PBE-GGA was carried out for a geometry-optimized AcTaBi structure.

Cell lengths 15.537, 3.808, 7.009 Å; angles 90.00, 116.54, 90.00 degrees
Space group C2/m (No. 12)
One atom of each set of equivalent atoms:
Ac 0.144 0.000 0.143
Ta 0.000 0.500 0.320
Bi 0.144 0.000 0.642

Output
- Density: 11.045 g cm⁻³
- Crystal system: monoclinic
- Total energy: -6.516 eV/atom
- Energy relative to the elements: 0.098 eV per atom